Material: SrRu2Rh
Method: DFT, PBE
State: optimized geometry

a b c (Å): 2.957 2.957 8.148
angles (deg): 90.00 90.00 90.00
Space group P4mm (No. 99)
Inequivalent atoms, fractional coordinates:
Sr1 0.000 0.000 0.000 [1 per cell]
Ru1 0.000 0.000 0.507 [1 per cell]
Ru2 0.500 0.500 0.696 [1 per cell]
Rh1 0.500 0.500 0.295 [1 per cell]

Summary:
- E: -6.514 eV/atom
- DFT formation energy: 0.3821 eV/atom
- Energy above the lowest structure with this stoichiometry: 0.66 kJ per mole of atoms